Record 1
First-principles (GGA-PBE) data for a relaxed structure of TaIrRu, as listed in the Alexandria database.

The structure belongs to space group F-43m (No. 216); the cell edges are 6.015, 6.015 and 6.015 Å and the angles 90.00°, 90.00° and 90.00°. The distinct sites, in fractional coordinates, are Ta at (0.000, 0.000, 0.000), Ir at (0.250, 0.250, 0.750) and Ru at (0.250, 0.250, 0.250).

The calculation puts the formation energy at 0.048 eV/atom. The energy above the most stable polymorph in this dataset comes out at 459 meV per atom. The calculation puts the volume at 217.61 Å³/cell. The calculation puts the total energy at -119.4 eV per cell.


Record 2
First-principles (GGA-PBE) data for a relaxed structure of TbTaIrRu, as listed in the Alexandria database.

The structure belongs to space group F-43m (No. 216); the cell edges are 6.592, 6.592 and 6.592 Å and the angles 90.00°, 90.00° and 90.00°. The distinct sites, in fractional coordinates, are Tb at (0.000, 0.000, 0.000), Ta at (0.000, 0.000, 0.500), Ir at (0.250, 0.250, 0.750) and Ru at (0.250, 0.250, 0.250).

The calculation puts the formation energy at -0.368 eV/atom. The calculation puts the volume at 286.49 Å³/cell. The calculation puts the total energy at -144.4 eV per cell.


Record 3
First-principles (GGA-PBE) data for a relaxed structure of Ta2TcIr5Ru, as listed in the Alexandria database.

The structure belongs to space group I4/mcm (No. 140); the cell edges are 7.200, 7.200 and 11.500 Å and the angles 90.00°, 90.00° and 90.00°. The distinct sites, in fractional coordinates, are Ta at (0.122, 0.378, 0.000), Tc at (0.000, 0.000, 0.250), Ir at (0.000, 0.000, 0.000), Ir at (0.207, 0.293, 0.357) and Ru at (0.000, 0.500, 0.250).

The calculation puts the formation energy at 0.492 eV/atom. The calculation puts the volume at 596.13 Å³/cell. The calculation puts the total energy at -332.9 eV per cell.


Record 4
First-principles (GGA-PBE) data for a relaxed structure of TaTi2Ir5Ru, as listed in the Alexandria database.

The structure belongs to space group I4/mcm (No. 140); the cell edges are 7.241, 7.241 and 10.951 Å and the angles 90.00°, 90.00° and 90.00°. The distinct sites, in fractional coordinates, are Ta at (0.000, 0.000, 0.250), Ti at (0.113, 0.387, 0.000), Ir at (0.000, 0.000, 0.000), Ir at (0.201, 0.299, 0.370) and Ru at (0.000, 0.500, 0.250).

The calculation puts the formation energy at -0.008 eV/atom. The calculation puts the volume at 574.21 Å³/cell. The calculation puts the total energy at -325.2 eV per cell.